Compound: Be2TeS
Source: the Alexandria database
Functional: PBEsol
Structure: optimized geometry

```
data_Be2TeS
_chemical_formula_sum 'Be4 Te2 S2'
_cell_length_a 5.2283
_cell_length_b 5.2283
_cell_length_c 6.3834
_cell_angle_alpha 114.18
_cell_angle_beta 114.18
_cell_angle_gamma 90.00
_space_group_name_H-M_alt 'P 1'
_space_group_IT_number 1
loop_
_space_group_symop_operation_xyz
'x,y,z'
loop_
_atom_site_label
_atom_site_type_symbol
_atom_site_fract_x
_atom_site_fract_y
_atom_site_fract_z
S1 S 0.7500 0.2500 0.5000
S2 S 0.5000 0.5000 0.0000
Te1 Te 0.2500 0.7500 0.5000
Te2 Te 0.0000 0.0000 0.0000
Be1 Be 0.1250 0.1731 0.7500
Be2 Be 0.4231 0.8750 0.2500
Be3 Be 0.8269 0.3750 0.2500
Be4 Be 0.6250 0.5769 0.7500
```

Output
Raw formation energy: -0.657 eV per atom
Calculated volume: 17.78 Å³/atom


Compound: Li3MgH
Source: the Alexandria database
Functional: PBEsol
Structure: optimized geometry

```
data_Li3MgH
_chemical_formula_sum 'Li3 Mg1 H1'
_cell_length_a 4.1900
_cell_length_b 4.1900
_cell_length_c 4.1900
_cell_angle_alpha 90.00
_cell_angle_beta 90.00
_cell_angle_gamma 90.00
_space_group_name_H-M_alt 'P 1'
_space_group_IT_number 1
loop_
_space_group_symop_operation_xyz
'x,y,z'
loop_
_atom_site_label
_atom_site_type_symbol
_atom_site_fract_x
_atom_site_fract_y
_atom_site_fract_z
Li1 Li 0.0000 0.0000 0.5000
Li2 Li 0.0000 0.5000 0.0000
Li3 Li 0.5000 0.0000 0.0000
Mg1 Mg 0.5000 0.5000 0.5000
H1 H 0.0000 0.0000 0.0000
```

Output
E_tot: -2.281 eV/atom
Calculated volume: 14.71 Å³/atom


Compound: SrLi2Pb
Source: the Alexandria database
Functional: PBEsol
Structure: optimized geometry

```
data_SrLi2Pb
_chemical_formula_sum 'Sr1 Li2 Pb1'
_cell_length_a 4.8962
_cell_length_b 4.8962
_cell_length_c 6.0603
_cell_angle_alpha 66.17
_cell_angle_beta 66.17
_cell_angle_gamma 60.00
_space_group_name_H-M_alt 'P 1'
_space_group_IT_number 1
loop_
_space_group_symop_operation_xyz
'x,y,z'
loop_
_atom_site_label
_atom_site_type_symbol
_atom_site_fract_x
_atom_site_fract_y
_atom_site_fract_z
Li1 Li 0.2416 0.2416 0.2754
Li2 Li 0.9491 0.9491 0.1527
Pb1 Pb 0.5489 0.5489 0.3533
Sr1 Sr 0.7590 0.7590 0.7231
```

Output
E_tot: -2.808 eV/atom
Calculated volume: 27.82 Å³/atom


Compound: CaNi2Ir2
Source: the Alexandria database
Functional: PBEsol
Structure: optimized geometry

```
data_CaNi2Ir2
_chemical_formula_sum 'Ca1 Ni2 Ir2'
_cell_length_a 4.0676
_cell_length_b 4.0676
_cell_length_c 5.7055
_cell_angle_alpha 110.88
_cell_angle_beta 110.88
_cell_angle_gamma 90.00
_space_group_name_H-M_alt 'P 1'
_space_group_IT_number 1
loop_
_space_group_symop_operation_xyz
'x,y,z'
loop_
_atom_site_label
_atom_site_type_symbol
_atom_site_fract_x
_atom_site_fract_y
_atom_site_fract_z
Ni1 Ni 0.7500 0.2500 0.5000
Ni2 Ni 0.2500 0.7500 0.5000
Ir1 Ir 0.3811 0.3811 0.7623
Ir2 Ir 0.6189 0.6189 0.2377
Ca1 Ca 0.0000 0.0000 0.0000
```

Output
E_tot: -6.761 eV/atom
Calculated volume: 16.31 Å³/atom


Compound: Na2LiNbSe
Source: the Alexandria database
Functional: PBEsol
Structure: optimized geometry

```
data_Na2LiNbSe
_chemical_formula_sum 'Na2 Li1 Nb1 Se1'
_cell_length_a 5.0662
_cell_length_b 5.6146
_cell_length_c 5.6146
_cell_angle_alpha 90.00
_cell_angle_beta 90.00
_cell_angle_gamma 90.00
_space_group_name_H-M_alt 'P 1'
_space_group_IT_number 1
loop_
_space_group_symop_operation_xyz
'x,y,z'
loop_
_atom_site_label
_atom_site_type_symbol
_atom_site_fract_x
_atom_site_fract_y
_atom_site_fract_z
Na1 Na 0.0000 0.5000 0.0000
Na2 Na 0.0000 0.0000 0.5000
Li1 Li 0.5000 0.0000 0.0000
Se1 Se 0.5000 0.5000 0.5000
Nb1 Nb 0.0000 0.0000 0.0000
```

Output
Raw formation energy: 1.222 eV per atom
Calculated volume: 31.94 Å³/atom


Compound: CsYIN2
Source: the Alexandria database
Functional: PBEsol
Structure: optimized geometry

```
data_CsYIN2
_chemical_formula_sum 'Cs1 Y1 I1 N2'
_cell_length_a 4.7877
_cell_length_b 4.7877
_cell_length_c 6.0542
_cell_angle_alpha 90.00
_cell_angle_beta 90.00
_cell_angle_gamma 90.00
_space_group_name_H-M_alt 'P 1'
_space_group_IT_number 1
loop_
_space_group_symop_operation_xyz
'x,y,z'
loop_
_atom_site_label
_atom_site_type_symbol
_atom_site_fract_x
_atom_site_fract_y
_atom_site_fract_z
N1 N 0.5000 0.0000 0.0000
N2 N 0.0000 0.5000 0.0000
I1 I 0.0000 0.0000 0.5000
Cs1 Cs 0.5000 0.5000 0.5000
Y1 Y 0.0000 0.0000 0.0000
```

Output
Raw formation energy: 0.112 eV per atom
Calculated volume: 27.76 Å³/atom


Compound: KIN3
Source: the Alexandria database
Functional: PBEsol
Structure: optimized geometry

```
data_KIN3
_chemical_formula_sum 'K1 I1 N3'
_cell_length_a 4.0951
_cell_length_b 4.0951
_cell_length_c 4.0951
_cell_angle_alpha 90.00
_cell_angle_beta 90.00
_cell_angle_gamma 90.00
_space_group_name_H-M_alt 'P 1'
_space_group_IT_number 1
loop_
_space_group_symop_operation_xyz
'x,y,z'
loop_
_atom_site_label
_atom_site_type_symbol
_atom_site_fract_x
_atom_site_fract_y
_atom_site_fract_z
I1 I 0.0000 0.0000 0.0000
N1 N 0.0000 0.5000 0.0000
N2 N 0.0000 0.0000 0.5000
N3 N 0.5000 0.0000 0.0000
K1 K 0.5000 0.5000 0.5000
```

Output
Raw formation energy: 1.618 eV per atom
Calculated volume: 13.74 Å³/atom


Compound: CuTeO4
Source: the Alexandria database
Functional: PBEsol
Structure: optimized geometry

```
data_CuTeO4
_chemical_formula_sum 'Cu4 Te4 O16'
_cell_length_a 4.7124
_cell_length_b 5.5359
_cell_length_c 10.3221
_cell_angle_alpha 90.00
_cell_angle_beta 90.00
_cell_angle_gamma 90.80
_space_group_name_H-M_alt 'P 1'
_space_group_IT_number 1
loop_
_space_group_symop_operation_xyz
'x,y,z'
loop_
_atom_site_label
_atom_site_type_symbol
_atom_site_fract_x
_atom_site_fract_y
_atom_site_fract_z
O1 O 0.2831 0.2280 0.9199
O2 O 0.6598 0.2407 0.5935
O3 O 0.7984 0.0357 0.3330
O4 O 0.7158 0.9635 0.8208
O5 O 0.7169 0.7720 0.0801
O6 O 0.2016 0.9643 0.6670
O7 O 0.2984 0.5357 0.1670
O8 O 0.8402 0.2593 0.0935
O9 O 0.1598 0.7407 0.9065
O10 O 0.2158 0.4635 0.6792
O11 O 0.2842 0.0365 0.1792
O12 O 0.2169 0.2720 0.4199
O13 O 0.7842 0.5365 0.3208
O14 O 0.3402 0.7593 0.4065
O15 O 0.7016 0.4643 0.8330
O16 O 0.7831 0.7280 0.5801
Cu1 Cu 0.0000 0.0000 0.5000
Cu2 Cu 0.5000 0.5000 0.0000
Cu3 Cu 0.0000 0.0000 0.0000
Cu4 Cu 0.5000 0.5000 0.5000
Te1 Te 0.4581 0.2029 0.7513
Te2 Te 0.0419 0.2971 0.2513
Te3 Te 0.9581 0.7029 0.7487
Te4 Te 0.5419 0.7971 0.2487
```

Output
Raw formation energy: -0.796 eV per atom
Calculated volume: 11.22 Å³/atom


Compound: Ba3BiIr2O9
Source: the Alexandria database
Functional: PBEsol
Structure: optimized geometry

```
data_Ba3BiIr2O9
_chemical_formula_sum 'Ba6 Bi2 Ir4 O18'
_cell_length_a 5.9042
_cell_length_b 5.9042
_cell_length_c 14.8093
_cell_angle_alpha 91.19
_cell_angle_beta 91.19
_cell_angle_gamma 119.51
_space_group_name_H-M_alt 'P 1'
_space_group_IT_number 1
loop_
_space_group_symop_operation_xyz
'x,y,z'
loop_
_atom_site_label
_atom_site_type_symbol
_atom_site_fract_x
_atom_site_fract_y
_atom_site_fract_z
O1 O 0.4949 0.5051 0.7500
O2 O 0.2145 0.8675 0.5948
O3 O 0.6816 0.8634 0.6019
O4 O 0.9752 0.5012 0.2623
O5 O 0.8634 0.6816 0.1019
O6 O 0.5051 0.4949 0.2500
O7 O 0.1366 0.3184 0.8981
O8 O 0.4988 0.0248 0.2377
O9 O 0.8675 0.2145 0.0948
O10 O 0.0248 0.4988 0.7377
O11 O 0.3184 0.1366 0.3981
O12 O 0.5012 0.9752 0.7623
O13 O 0.4044 0.2154 0.0711
O14 O 0.7846 0.5956 0.4289
O15 O 0.2154 0.4044 0.5711
O16 O 0.7855 0.1325 0.4052
O17 O 0.5956 0.7846 0.9289
O18 O 0.1325 0.7855 0.9052
Ir1 Ir 0.3532 0.6815 0.6660
Ir2 Ir 0.3185 0.6468 0.8340
Ir3 Ir 0.6815 0.3532 0.1660
Ir4 Ir 0.6468 0.3185 0.3340
Bi1 Bi 0.0000 0.0000 0.5000
Bi2 Bi 0.0000 0.0000 0.0000
Ba1 Ba 0.3433 0.6759 0.0942
Ba2 Ba 0.6567 0.3241 0.9058
Ba3 Ba 0.0081 0.9919 0.7500
Ba4 Ba 0.6759 0.3433 0.5942
Ba5 Ba 0.9919 0.0081 0.2500
Ba6 Ba 0.3241 0.6567 0.4058
```

Output
Raw formation energy: -1.712 eV per atom
Calculated volume: 14.96 Å³/atom


Compound: BaBe2Br
Source: the Alexandria database
Functional: PBEsol
Structure: optimized geometry

```
data_BaBe2Br
_chemical_formula_sum 'Ba1 Be2 Br1'
_cell_length_a 3.4673
_cell_length_b 3.4673
_cell_length_c 7.1186
_cell_angle_alpha 90.00
_cell_angle_beta 90.00
_cell_angle_gamma 90.00
_space_group_name_H-M_alt 'P 1'
_space_group_IT_number 1
loop_
_space_group_symop_operation_xyz
'x,y,z'
loop_
_atom_site_label
_atom_site_type_symbol
_atom_site_fract_x
_atom_site_fract_y
_atom_site_fract_z
Ba1 Ba 0.5000 0.5000 0.7704
Be1 Be 0.5000 0.5000 0.1646
Be2 Be 0.0000 0.0000 0.1143
Br1 Br 0.0000 0.0000 0.4507
```

Output
Raw formation energy: 0.150 eV per atom
Relative energy among the computed polymorphs: 13.7 kJ per mole of atoms
Calculated volume: 21.39 Å³/atom